Entry 1:
Nb2SnW: relaxed, PBE-GGA.

Calculated values
Volume ... 73 Å³ per cell
Density ... 11.110 g cm⁻³
Raw total energy ... -9.22 eV per atom
Formation energy from the elements ... 0.053 eV per atom
Symmetry ... No. 123
DOS(E_F) ... 2.57 states/eV/cell

```
Nb2SnW
1.0
4.4509 0.0000 0.0000
0.0000 4.4509 0.0000
0.0000 0.0000 3.6844
Nb Sn W
2 1 1
direct
0.0000 0.5000 0.0000
0.5000 0.0000 0.0000
0.0000 0.0000 0.5000
0.5000 0.5000 0.5000
```

=====

Entry 2:
Ba8TeAu2: relaxed, PBE-GGA.

Calculated values
Volume ... 663 Å³ per cell
Density ... 4.057 g cm⁻³
Raw total energy ... -2.66 eV per atom
Symmetry ... No. 147
ΔE_f (raw) ... -383.4 meV per atom
DOS(E_F) ... 15.67 states/eV/cell

```
Ba8TeAu2
1.0
10.5698 0.0000 0.0000
-5.2849 9.1537 0.0000
0.0000 0.0000 6.8530
Ba Te Au
8 1 2
direct
0.1593 0.3212 0.2444
0.1619 0.8407 0.2444
0.3212 0.1619 0.7556
0.3333 0.6667 0.7489
0.6667 0.3333 0.2511
0.6788 0.8381 0.2444
0.8381 0.1593 0.7556
0.8407 0.6788 0.7556
0.0000 0.0000 0.5000
0.3333 0.6667 0.2505
0.6667 0.3333 0.7495
```

=====

Entry 3:
Ba2FeRh2: relaxed, PBE-GGA.

Calculated values
Volume ... 244 Å³ per cell
Density ... 7.294 g cm⁻³
Raw total energy ... -5.21 eV per atom
Formation energy from the elements ... 0.195 eV per atom
Symmetry ... No. 127
DOS(E_F) ... 8.81 states/eV/cell

```
Ba2FeRh2
1.0
6.9704 0.0000 0.0000
0.0000 6.9704 0.0000
0.0000 0.0000 5.0260
Ba Fe Rh
4 2 4
direct
0.1804 0.3196 0.0000
0.3196 0.8196 0.0000
0.6804 0.1804 0.0000
0.8196 0.6804 0.0000
0.0000 0.0000 0.5000
0.5000 0.5000 0.5000
0.1368 0.6368 0.5000
0.3632 0.1368 0.5000
0.6368 0.8632 0.5000
0.8632 0.3632 0.5000
```

=====

Entry 4:
Na3HI: relaxed, PBE-GGA.

Calculated values
Volume ... 224 Å³ per cell
Density ... 1.457 g cm⁻³
Raw total energy ... -1.75 eV per atom
Energy above the lowest structure with this stoichiometry ... 0.3990 eV/atom
Symmetry ... No. 221
DOS(E_F) ... 3.43 states/eV/cell

```
Na3HI
1.0
6.0773 0.0000 0.0000
0.0000 6.0773 0.0000
0.0000 0.0000 6.0773
Na H I
3 1 1
direct
0.0000 0.0000 0.5000
0.0000 0.5000 0.0000
0.5000 0.0000 0.0000
0.5000 0.5000 0.5000
0.0000 0.0000 0.0000
```

=====

Entry 5:
BaSnOsAu2: relaxed, PBE-GGA.

Calculated values
Volume ... 175 Å³ per cell
Density ... 7.952 g cm⁻³
Raw total energy ... -3.57 eV per atom
Formation energy from the elements ... 1.174 eV per atom
Symmetry ... No. 123
DOS(E_F) ... 4.07 states/eV/cell

```
BaSnOsAu2
1.0
5.1280 0.0000 0.0000
0.0000 5.1280 0.0000
0.0000 0.0000 6.6721
Ba Sn Os Au
1 1 1 2
direct
0.0000 0.0000 0.0000
0.0000 0.0000 0.5000
0.5000 0.5000 0.0000
0.0000 0.5000 0.5000
0.5000 0.0000 0.5000
```

=====

Entry 6:
TcNiMo3: relaxed, PBE-GGA.

Calculated values
Volume ... 100 Å³ per cell
Density ... 7.359 g cm⁻³
Raw total energy ... -7.94 eV per atom
Formation energy from the elements ... 1.793 eV per atom
Energy above the lowest structure with this stoichiometry ... 0.3248 eV/atom
Symmetry ... No. 221
DOS(E_F) ... 5.24 states/eV/cell

```
TcNiMo3
1.0
4.6463 0.0000 0.0000
0.0000 4.6463 0.0000
0.0000 0.0000 4.6463
Tc Ni Mo
1 1 3
direct
0.0000 0.0000 0.0000
0.5000 0.5000 0.5000
0.0000 0.0000 0.5000
0.0000 0.5000 0.0000
0.5000 0.0000 0.0000
```

=====

Entry 7:
Ca2Nb4Rh: relaxed, PBE-GGA.

Calculated values
Volume ... 194 Å³ per cell
Density ... 4.755 g cm⁻³
Raw total energy ... -6.27 eV per atom
Formation energy from the elements ... 1.102 eV per atom
Symmetry ... No. 139
DOS(E_F) ... 8.05 states/eV/cell

```
Ca2Nb4Rh
1.0
-2.4425 2.4425 8.1166
2.4425 -2.4425 8.1166
2.4425 2.4425 -8.1166
Ca Nb Rh
2 4 1
direct
0.1451 0.1451 0.0000
0.8549 0.8549 0.0000
0.0000 0.5000 0.5000
0.3506 0.3506 0.0000
0.5000 0.0000 0.5000
0.6494 0.6494 0.0000
0.5000 0.5000 0.0000
```

=====

Entry 8:
ZrFeBr2: relaxed, PBE-GGA.

Calculated values
Volume ... 81 Å³ per cell
Density ... 6.278 g cm⁻³
Raw total energy ... -4.84 eV per atom
Energy above the lowest structure with this stoichiometry ... 0.6981 eV/atom
Symmetry ... No. 119
ΔE_f (raw) ... 253.0 meV per atom
DOS(E_F) ... 3.35 states/eV/cell

```
ZrFeBr2
1.0
-1.9659 1.9659 5.2502
1.9659 -1.9659 5.2502
1.9659 1.9659 -5.2502
Zr Fe Br
1 1 2
direct
0.0000 0.0000 0.0000
0.7500 0.2500 0.5000
0.2500 0.7500 0.5000
0.5000 0.5000 0.0000
```

=====

Entry 9:
HfSn2H2: relaxed, PBE-GGA.

Calculated values
Volume ... 78 Å³ per cell
Density ... 8.933 g cm⁻³
Raw total energy ... -4.61 eV per atom
Energy above the lowest structure with this stoichiometry ... 0.1253 eV/atom
Symmetry ... No. 139
DOS(E_F) ... 2.08 states/eV/cell

```
HfSn2H2
1.0
-1.6064 1.6064 7.5267
1.6064 -1.6064 7.5267
1.6064 1.6064 -7.5267
Hf Sn H
1 2 2
direct
0.0000 0.0000 0.0000
0.3544 0.3544 0.0000
0.6456 0.6456 0.0000
0.2500 0.7500 0.5000
0.7500 0.2500 0.5000
```

=====

Entry 10:
LaAs2Se: relaxed, PBE-GGA.

Calculated values
Volume ... 99 Å³ per cell
Density ... 6.159 g cm⁻³
Raw total energy ... -5.21 eV per atom
Energy above the lowest structure with this stoichiometry ... 0.2025 eV/atom
Symmetry ... No. 69
ΔE_f (raw) ... -781.1 meV per atom
DOS(E_F) ... 1.76 states/eV/cell

```
LaAs2Se
1.0
0.0000 3.0336 5.4729
2.9854 0.0000 5.4729
2.9854 3.0336 0.0000
La As Se
1 2 1
direct
0.0000 0.0000 0.0000
0.0000 0.5000 0.5000
0.5000 0.0000 0.0000
0.5000 0.5000 0.5000
```

=====

Entry 11:
LiLa2Mg2: relaxed, PBE-GGA.

Calculated values
Volume ... 143 Å³ per cell
Density ... 3.862 g cm⁻³
Raw total energy ... -2.99 eV per atom
Formation energy from the elements ... 0.002 eV per atom
Energy above the lowest structure with this stoichiometry ... 0.0000 eV/atom
Symmetry ... No. 12
DOS(E_F) ... 5.41 states/eV/cell

```
LiLa2Mg2
1.0
6.6572 -1.7656 0.0000
6.6572 1.7656 0.0000
-3.9585 0.0000 6.0979
Li La Mg
1 2 2
direct
0.0000 0.0000 0.0000
0.2337 0.2337 0.7335
0.7663 0.7663 0.2665
0.5002 0.5002 0.2963
0.4998 0.4998 0.7037
```

=====

Entry 12:
Mn2FeRe: relaxed, PBE-GGA.

Calculated values
Volume ... 48 Å³ per cell
Density ... 12.191 g cm⁻³
Raw total energy ... -9.71 eV per atom
Formation energy from the elements ... 0.104 eV per atom
Symmetry ... No. 12
DOS(E_F) ... 4.52 states/eV/cell

```
Mn2FeRe
1.0
4.2345 -1.2914 0.0000
4.2345 1.2914 0.0000
-0.7753 0.0000 4.3827
Mn Fe Re
2 1 1
direct
0.2436 0.2436 0.2295
0.7564 0.7564 0.7705
0.5000 0.5000 0.0000
0.0000 0.0000 0.5000
```